DFT (PBE+U) results for RhPb2WF after structural relaxation.

Values from the calculation:
Crystal system: tetragonal
DFT total energy: -4.408 eV per atom

a b c (Å): 5.605 5.605 4.047
angles (deg): 90.00 90.00 90.00
Space group P4/mmm (No. 123)
Inequivalent atoms, fractional coordinates:
Rh 0.000 0.000 0.000 [1 per cell]
Pb 0.000 0.500 0.500 [2 per cell]
W 0.500 0.500 0.500 [1 per cell]
F 0.500 0.500 0.000 [1 per cell]